DFT (GGA-PBE) results for a relaxed structure of SnF.

## Properties
- E_tot (eV per atom) = -4.2910
- total magnetization (μB per formula unit) = 0.0
- raw formation energy (eV per atom) = -1.354
- crystal system = orthorhombic

The structure in POSCAR format:
```
SnF
1.0
-7.602 0.146 -4.518
5.319 -7.146 -9.181
-1.834 -5.118 2.921
Sn F
16 16
Cartesian
-5.289 -4.238 -4.222
-1.375 -3.837 2.190
2.202 -4.851 -3.861
-2.516 -7.337 -4.659
-2.628 -7.807 -8.814
-1.601 -4.781 -6.118
-0.571 -1.752 -3.424
1.171 -7.883 -6.553
-6.205 -6.793 -2.763
-1.487 -4.307 -1.965
-5.177 -3.767 -0.067
-4.259 -1.205 -1.530
-1.713 -5.252 -10.273
1.284 -7.413 -2.399
-0.459 -1.281 0.731
0.256 -10.439 -5.095
0.500 -5.705 -9.682
-0.011 -4.398 -4.452
-0.305 -7.793 -4.066
1.641 -2.205 -2.833
-1.040 -7.427 -7.146
1.732 -10.529 -7.582
0.102 -3.927 -0.297
-4.729 -6.884 -5.250
-1.152 -7.898 -11.301
-6.765 -4.147 -1.735
-2.783 -1.295 -4.017
3.384 -8.336 -5.962
-2.048 -1.661 -0.936
3.678 -4.941 -6.348
-3.077 -4.691 -3.631
-3.189 -5.161 -7.786
```